(1)
First-principles (PBE) data for Sm3Cu9Ni2 after structural relaxation, as listed in Alexandria.

a b c (Å): 7.787 7.787 7.787
angles (deg): 148.89 110.26 78.32
Positions (direct):
Sm 0.000 0.000 0.000
Sm 0.309 0.309 0.000
Sm 0.691 0.691 0.000
Cu 0.025 0.672 0.354
Cu 0.160 0.882 0.278
Cu 0.318 0.672 0.646
Cu 0.395 0.118 0.278
Cu 0.500 0.000 0.500
Cu 0.605 0.882 0.722
Cu 0.682 0.328 0.354
Cu 0.840 0.118 0.722
Cu 0.975 0.328 0.646
Ni 0.307 0.500 0.807
Ni 0.693 0.500 0.193

Crystal system: orthorhombic
Formation energy (eV per atom): -0.19
Calculated density (g/cm³): 8.43



(2)
First-principles (PBE) data for Sm2CuNi3 after structural relaxation, as listed in Alexandria.

a b c (Å): 8.175 8.055 5.587
angles (deg): 71.03 68.71 40.26
Positions (direct):
Sm 0.250 0.250 0.250
Sm 0.250 0.750 0.750
Sm 0.750 0.250 0.250
Sm 0.750 0.750 0.750
Cu 0.167 0.167 0.833
Cu 0.833 0.833 0.167
Ni 0.171 0.664 0.336
Ni 0.335 0.335 0.665
Ni 0.336 0.829 0.171
Ni 0.664 0.171 0.829
Ni 0.665 0.665 0.335
Ni 0.829 0.336 0.664

Crystal system: orthorhombic
Formation energy (eV per atom): -0.31
Calculated density (g/cm³): 8.13



(3)
First-principles (PBE) data for Sm2CuNi3Sn4 after structural relaxation, as listed in Alexandria.

a b c (Å): 4.428 4.428 10.273
angles (deg): 90.00 90.00 90.00
Positions (direct):
Sm 0.000 0.500 0.241
Sm 0.500 0.000 0.759
Cu 0.500 0.500 0.000
Ni 0.000 0.000 0.000
Ni 0.000 0.500 0.626
Ni 0.500 0.000 0.374
Sn 0.000 0.000 0.500
Sn 0.000 0.500 0.869
Sn 0.500 0.000 0.131
Sn 0.500 0.500 0.500

Crystal system: tetragonal
Formation energy (eV per atom): -0.50
Calculated density (g/cm³): 8.37



(4)
First-principles (PBE) data for Sm2Cu3NiSn4 after structural relaxation, as listed in Alexandria.

a b c (Å): 4.447 4.447 10.551
angles (deg): 90.00 90.00 90.00
Positions (direct):
Sm 0.000 0.500 0.235
Sm 0.500 0.000 0.765
Cu 0.000 0.000 0.000
Cu 0.000 0.500 0.639
Cu 0.500 0.000 0.361
Ni 0.500 0.500 0.000
Sn 0.000 0.000 0.500
Sn 0.000 0.500 0.878
Sn 0.500 0.000 0.122
Sn 0.500 0.500 0.500

Crystal system: tetragonal
Formation energy (eV per atom): -0.41
Calculated density (g/cm³): 8.16